This record from the Alexandria database describes K2CoCl after structural relaxation. The functional is PBE-GGA.

Output
- volume (Å³ per atom) = 32.5
- uncorrected energy (eV per cell) = -46.303
- crystal system = cubic
- total moment (μB/f.u.) = 2.00
- uncorrected formation energy (meV per atom) = -107

CIF file:
```
data_K2CoCl
_chemical_formula_sum 'K8 Co4 Cl4'
_symmetry_space_group_name_H-M 'F m -3 m'
_symmetry_Int_Tables_number 225
_symmetry_space_group_name_Hall '-F 4 2 3'
_cell_length_a 8.046
_cell_length_b 8.046
_cell_length_c 8.046
_cell_angle_alpha 90.00
_cell_angle_beta 90.00
_cell_angle_gamma 90.00
loop_
_atom_site_label
_atom_site_type_symbol
_atom_site_fract_x
_atom_site_fract_y
_atom_site_fract_z
K1 K 0.250 0.250 0.250
Co1 Co 0.000 0.000 0.000
Cl1 Cl 0.000 0.000 0.500
```